1.
DFT (PBE) results for NdTmCd2 after structural relaxation.

As for the final energy: -3.08 eV/atom. As for the relative energy among the computed polymorphs: 3.2 meV/atom. The value obtained for the formation energy is -29.8 kJ/mol of atoms.

It has space group Fm-3m (No. 225), with a = 7.5661 Å, b = 7.5661 Å, c = 7.5661 Å, α = 90.00°, β = 90.00° and γ = 90.00°. Symmetry generates all atoms from Nd at (0.0000, 0.0000, 0.0000), Tm at (0.0000, 0.0000, 0.5000) and Cd at (0.2500, 0.2500, 0.2500).

***

2.
DFT (PBE) results for Nd8Tm5Cd after structural relaxation.

As for the final energy: -4.25 eV/atom. The value obtained for the formation energy is 13.3 kJ/mol of atoms.

It has space group C2 (No. 5), with a = 14.4831 Å, b = 8.9607 Å, c = 9.0927 Å, α = 90.00°, β = 127.33° and γ = 90.00°. Symmetry generates all atoms from Nd at (0.0699, 0.0000, 0.4179), Nd at (0.1748, 0.6326, 0.6509), Nd at (0.2335, 0.4411, 0.0487), Nd at (0.2354, 0.7547, 0.3440), Tm at (0.0000, 0.0746, 0.0000), Tm at (0.0523, 0.7345, 0.8814), Tm at (0.0838, 0.4093, 0.2394) and Cd at (0.0000, 0.3358, 0.5000).

***

3.
DFT (PBE) results for NdTm4Cd after structural relaxation.

As for the final energy: -4.01 eV/atom. As for the relative energy among the computed polymorphs: 0.0 meV/atom. The value obtained for the formation energy is -8.0 kJ/mol of atoms.

It has space group P4/mmm (No. 123), with a = 3.5472 Å, b = 3.5472 Å, c = 14.0498 Å, α = 90.00°, β = 90.00° and γ = 90.00°. Symmetry generates all atoms from Nd at (0.0000, 0.0000, 0.0000), Tm at (0.0000, 0.0000, 0.3544), Tm at (0.5000, 0.5000, 0.1802) and Cd at (0.5000, 0.5000, 0.5000).

***

4.
DFT (PBE) results for Nd12Tm5Cd2 after structural relaxation.

As for the final energy: -4.24 eV/atom. The value obtained for the formation energy is 4.2 kJ/mol of atoms.

It has space group C2/m (No. 12), with a = 15.6206 Å, b = 9.2672 Å, c = 8.5786 Å, α = 90.00°, β = 92.67° and γ = 90.00°. Symmetry generates all atoms from Nd at (0.0595, 0.0000, 0.3296), Nd at (0.0819, 0.5000, 0.8828), Nd at (0.1254, 0.1945, 0.6696), Nd at (0.1500, 0.3149, 0.2337), Tm at (0.0000, 0.5000, 0.5000), Tm at (0.1951, 0.0000, 0.0177), Tm at (0.2317, 0.5000, 0.5779) and Cd at (0.0000, 0.1690, 0.0000).

***

5.
DFT (PBE) results for Nd2TmCd6 after structural relaxation.

As for the final energy: -2.49 eV/atom. The value obtained for the formation energy is -31.1 kJ/mol of atoms.

It has space group P6/mmm (No. 191), with a = 8.7441 Å, b = 8.7441 Å, c = 3.4316 Å, α = 90.00°, β = 90.00° and γ = 120.00°. Symmetry generates all atoms from Nd at (0.3333, 0.6667, 0.0000), Tm at (0.0000, 0.0000, 0.0000) and Cd at (0.0000, 0.3292, 0.5000).

***

6.
DFT (PBE) results for NdTmCd6 after structural relaxation.

As for the final energy: -2.12 eV/atom. The value obtained for the formation energy is -26.5 kJ/mol of atoms.

It has space group Amm2 (No. 38), with a = 4.9028 Å, b = 7.2307 Å, c = 10.9621 Å, α = 90.00°, β = 90.00° and γ = 90.00°. Symmetry generates all atoms from Nd at (0.0000, 0.0000, 0.0000), Tm at (0.5000, 0.0000, 0.7289), Cd at (0.0000, 0.0000, 0.5418), Cd at (0.0000, 0.2174, 0.2696), Cd at (0.5000, 0.0000, 0.1945) and Cd at (0.5000, 0.2124, 0.4586).

***

- Look up the final energy of the first one.
  -3.08 eV/atom

***

- Which of these has the highest final energy?
  NdTmCd6

***

- Which value of final energy does entry 1 give?
  -3.08 eV/atom

***

- Look up the final energy of the fourth one.
  -4.24 eV/atom